Compound: Tl3CoHg3O8
Source: Alexandria
Functional: PBE+U
Structure: optimized geometry

Lattice parameters (Å, degrees): 11.780 6.799 6.953 90.00 124.31 90.00
Space group C2/m (No. 12)
Asymmetric unit:
Tl1 0.000 0.000 0.000 x2
Tl2 0.250 0.250 0.000 x4
Co1 0.000 0.500 0.000 x2
Hg1 0.000 0.500 0.500 x2
Hg2 0.250 0.250 0.500 x4
O1 0.003 0.295 0.805 x8
O2 0.201 0.500 0.196 x4
O3 0.245 0.000 0.237 x4

Total DFT energy (no corrections) in eV per atom: -3.953
Crystal system: monoclinic